# Al2S2I (GGA-PBE, relaxed)
# ρ: 3.778 g/cm³
# D(E_F): 0.251 states/eV per atom
# Uncorrected formation energy: -56.5 kJ per mole of atoms
data_Al2S2I
_space_group_name_H-M_alt 'P 1'
_space_group_IT_number 1
_cell_length_a 8.3613
_cell_length_b 8.3613
_cell_length_c 8.3613
_cell_angle_alpha 154.57
_cell_angle_beta 154.57
_cell_angle_gamma 36.28
loop_
_space_group_symop_operation_xyz
'x,y,z'
loop_
_atom_site_label
_atom_site_type_symbol
_atom_site_fract_x
_atom_site_fract_y
_atom_site_fract_z
Al1 Al 0.1724 0.1724 0.0000
Al2 Al 0.8276 0.8276 0.0000
S1 S 0.3234 0.3234 0.0000
S2 S 0.6766 0.6766 0.0000
I1 I 0.0000 0.0000 0.0000